1.
Compound: LiSb2Mo
Source: Alexandria
Functional: meta-GGA SCAN
Structure: single point on PBEsol structure

Summary:
Density   7.683 g cm⁻³
Energy relative to the elements, uncorrected   0.0875 eV/atom
Energy relative to the lowest polymorph listed for this composition   55 meV/atom

a = 3.6869 Å, b = 3.6869 Å, c = 5.5079 Å
α = 90.00°, β = 90.00°, γ = 90.00°
Space group P4mm (No. 99)
One atom of each set of equivalent atoms:
1 Li 0.0000 0.0000 0.0000
2 Sb 0.0000 0.0000 0.4786
3 Sb 0.5000 0.5000 0.8128
4 Mo 0.5000 0.5000 0.2946

---

2.
Compound: Sr2LiSbMo
Source: Alexandria
Functional: meta-GGA SCAN
Structure: single point on PBEsol structure

Summary:
Density   3.338 g cm⁻³
Energy relative to the elements, uncorrected   0.3720 eV/atom

a = 6.2413 Å, b = 6.2413 Å, c = 5.1068 Å
α = 90.00°, β = 90.00°, γ = 90.00°
Space group P4/mmm (No. 123)
One atom of each set of equivalent atoms:
1 Sr 0.0000 0.5000 0.0000
2 Li 0.0000 0.0000 0.5000
3 Sb 0.5000 0.5000 0.0000
4 Mo 0.5000 0.5000 0.5000

---

3.
Compound: LiScMo
Source: Alexandria
Functional: meta-GGA SCAN
Structure: single point on PBEsol structure

Summary:
Density   4.630 g cm⁻³
Energy relative to the elements   338 meV/atom

a = 2.7240 Å, b = 2.7240 Å, c = 14.2913 Å
α = 90.00°, β = 90.00°, γ = 90.00°
Space group I4mm (No. 107)
One atom of each set of equivalent atoms:
1 Li 0.0000 0.0000 0.0000
2 Sc 0.0000 0.0000 0.3112
3 Mo 0.0000 0.0000 0.6586

---

4.
Compound: LiScMo
Source: Alexandria
Functional: meta-GGA SCAN
Structure: single point on PBEsol structure

Summary:
Density   4.594 g cm⁻³
Energy relative to the elements   340 meV/atom

a = 3.3863 Å, b = 4.3626 Å, c = 14.4692 Å
α = 90.00°, β = 90.00°, γ = 90.00°
Space group Fmm2 (No. 42)
One atom of each set of equivalent atoms:
1 Li 0.0000 0.0000 0.0000
2 Sc 0.0000 0.0000 0.3097
3 Mo 0.0000 0.0000 0.6591

---

5.
Compound: LiSc2Mo
Source: Alexandria
Functional: meta-GGA SCAN
Structure: single point on PBEsol structure

Summary:
Density   4.330 g cm⁻³
Energy relative to the elements   250 meV/atom

a = 10.1462 Å, b = 2.9990 Å, c = 5.0112 Å
α = 90.00°, β = 104.12°, γ = 90.00°
Space group Cm (No. 8)
One atom of each set of equivalent atoms:
1 Li 0.0000 0.0000 0.0000
2 Sc 0.2448 0.0000 0.8336
3 Sc 0.4587 0.0000 0.4613
4 Mo 0.2147 0.5000 0.3241

---

6.
Compound: LiScZn2Mo
Source: Alexandria
Functional: meta-GGA SCAN
Structure: single point on PBEsol structure

Summary:
Density   4.041 g cm⁻³
Energy relative to the elements   1155 meV/atom

a = 5.0776 Å, b = 5.0776 Å, c = 4.4418 Å
α = 90.00°, β = 90.00°, γ = 90.00°
Space group P4/mmm (No. 123)
One atom of each set of equivalent atoms:
1 Li 0.0000 0.0000 0.0000
2 Sc 0.5000 0.5000 0.5000
3 Zn 0.0000 0.5000 0.5000
4 Mo 0.5000 0.5000 0.0000